[1]
Material: NiINF2
Method: DFT, meta-GGA SCAN
State: PBEsol geometry

Lattice parameters (Å, degrees): 3.7151 3.7151 4.4674 90.00 90.00 90.00
Space group P4/mmm (No. 123)
Symmetry-distinct sites (fractional):
Ni 0.0000 0.0000 0.0000 (multiplicity 1)
I 0.5000 0.5000 0.5000 (multiplicity 1)
N 0.0000 0.0000 0.5000 (multiplicity 1)
F 0.0000 0.5000 0.0000 (multiplicity 2)

Computed properties:
Crystal system: tetragonal
Raw formation energy in eV per atom: -0.317

[2]
Material: NiIN2F
Method: DFT, meta-GGA SCAN
State: PBEsol geometry

Lattice parameters (Å, degrees): 4.0567 4.0567 4.2395 90.00 90.00 90.00
Space group P4/mmm (No. 123)
Symmetry-distinct sites (fractional):
Ni 0.0000 0.0000 0.0000 (multiplicity 1)
I 0.5000 0.5000 0.5000 (multiplicity 1)
N 0.0000 0.5000 0.5000 (multiplicity 2)
F 0.5000 0.5000 0.0000 (multiplicity 1)

Computed properties:
Crystal system: tetragonal
Raw formation energy in eV per atom: 1.618

Q: What is the formula in the second record?
A: NiIN2F

Q: Among the records above, which one has the lowest raw formation energy?
A: NiINF2

Q: Which formula does entry 1 have?
A: NiINF2

Q: The lowest raw formation energy belongs to which entry?
A: NiINF2